(1)
This record from the Alexandria database describes an optimized crystal structure of Ag2TeCl6. The functional is PBE-GGA.

Results
Crystal system = monoclinic
Size of the total moment = 0.000 μB per formula unit
Uncorrected formation energy = -0.500 eV per atom
Offset from the most stable computed form = 24 meV per atom

a = 9.8935 Å, b = 9.8935 Å, c = 6.8389 Å
α = 101.19°, β = 101.19°, γ = 91.52°
Closest atoms and distances in Å follow each position.
Positions (direct):
Ag 0.1131 0.1139 0.3418  2 Cl 2.38
Ag 0.1139 0.1131 0.8418  2 Cl 2.38
Ag 0.8861 0.8869 0.1582  2 Cl 2.38
Ag 0.8869 0.8861 0.6582  2 Cl 2.38
Te 0.4185 0.5815 0.7500  4 Cl 2.35-2.58
Te 0.5815 0.4185 0.2500  4 Cl 2.35-2.58
Cl 0.0013 0.7675 0.4062  2 Ag 2.38
Cl 0.2016 0.5882 0.8419  1 Te 2.35
Cl 0.2325 0.9987 0.0938  2 Ag 2.38
Cl 0.3130 0.4524 0.3849  1 Te 2.58
Cl 0.4118 0.7984 0.6581  1 Te 2.35
Cl 0.4524 0.3130 0.8849  1 Te 2.58
Cl 0.5476 0.6870 0.1151  1 Te 2.58
Cl 0.5882 0.2016 0.3419  1 Te 2.35
Cl 0.6870 0.5476 0.6151  1 Te 2.58
Cl 0.7675 0.0013 0.9062  2 Ag 2.38
Cl 0.7984 0.4118 0.1581  1 Te 2.35
Cl 0.9987 0.2325 0.5938  2 Ag 2.38

(2)
This record from the Alexandria database describes an optimized crystal structure of Y5CdRh4. The functional is PBE-GGA.

Results
Crystal system = tetragonal
Size of the total moment = 0.000 μB per formula unit
Formation enthalpy at 0 K = -0.748 eV per atom

a = 3.4794 Å, b = 3.4794 Å, c = 17.7901 Å
α = 90.00°, β = 90.00°, γ = 90.00°
Closest atoms and distances in Å follow each position.
Positions (direct):
Y 0.0000 0.0000 0.0000  8 Rh 2.99
Y 0.0000 0.0000 0.1908  8 Rh 2.99-3.02
Y 0.0000 0.0000 0.3794  4 Rh 2.94, 4 Cd 3.26
Y 0.0000 0.0000 0.6206  4 Rh 2.94, 4 Cd 3.26
Y 0.0000 0.0000 0.8092  8 Rh 2.99-3.02
Cd 0.5000 0.5000 0.5000  8 Y 3.26, 4 Cd 3.48
Rh 0.5000 0.5000 0.0957  8 Y 2.99
Rh 0.5000 0.5000 0.2889  8 Y 2.94-3.02
Rh 0.5000 0.5000 0.7111  8 Y 2.94-3.02
Rh 0.5000 0.5000 0.9043  8 Y 2.99

(3)
This record from the Alexandria database describes an optimized crystal structure of Ca3ScPt. The functional is PBE-GGA.

Results
Crystal system = cubic
Size of the total moment = 0.000 μB per formula unit
Formation enthalpy at 0 K = -0.184 eV per atom
Offset from the most stable computed form = 0 meV per atom

a = 5.5402 Å, b = 5.5402 Å, c = 5.5402 Å
α = 90.00°, β = 90.00°, γ = 90.00°
Closest atoms and distances in Å follow each position.
Positions (direct):
Ca 0.0000 0.0000 0.5000  2 Pt 2.77
Ca 0.0000 0.5000 0.0000  2 Pt 2.77
Ca 0.5000 0.0000 0.0000  2 Pt 2.77
Sc 0.5000 0.5000 0.5000  12 Ca 3.92
Pt 0.0000 0.0000 0.0000  6 Ca 2.77

(4)
This record from the Alexandria database describes an optimized crystal structure of InSi2Pt. The functional is PBE-GGA.

Results
Crystal system = orthorhombic
Size of the total moment = 0.000 μB per formula unit
Uncorrected formation energy = 0.126 eV per atom

a = 5.0133 Å, b = 5.0133 Å, c = 5.0133 Å
α = 138.53°, β = 119.34°, γ = 76.15°
Closest atoms and distances in Å follow each position.
Positions (direct):
In 0.0000 0.0000 0.0000  8 Si 2.81-3.09, 4 Pt 2.86-3.05
Si 0.5004 0.5004 0.0000  2 Pt 2.46, 2 Si 2.50
Si 0.7241 0.2241 0.5000  2 Si 2.50
Pt 0.2848 0.7848 0.5000  2 Si 2.46